Entry 1:
Density functional theory data (PBE-GGA) for a relaxed Ba2PaPd4 crystal.

Crystal system: tetragonal
E: -5.076 eV/atom
Energy of formation from the pure elements: -0.2023 eV/atom

abc: 4.9663 4.9663 15.1363
angles: 90.00 90.00 90.00
Atoms (fractional coordinates):
Ba  0.0000  0.0000  0.2290
Ba  0.0000  0.0000  0.7710
Ba  0.5000  0.5000  0.2710
Ba  0.5000  0.5000  0.7290
Pa  0.0000  0.0000  0.5000
Pa  0.5000  0.5000  0.0000
Pd  0.0000  0.5000  0.0943
Pd  0.0000  0.5000  0.4057
Pd  0.0000  0.5000  0.5943
Pd  0.0000  0.5000  0.9057
Pd  0.5000  0.0000  0.0943
Pd  0.5000  0.0000  0.4057
Pd  0.5000  0.0000  0.5943
Pd  0.5000  0.0000  0.9057

Entry 2:
Density functional theory data (PBE-GGA) for a relaxed BaPaPdS4 crystal.

Crystal system: monoclinic
E: -6.124 eV/atom
Formation energy without anion corrections: -1.392 eV per atom

abc: 6.6803 5.9019 8.7062
angles: 90.00 108.42 90.00
Atoms (fractional coordinates):
Ba  0.2505  0.2500  0.0544
Ba  0.7495  0.7500  0.9456
Pa  0.2601  0.2500  0.5577
Pa  0.7399  0.7500  0.4423
Pd  0.2265  0.7500  0.3245
Pd  0.7735  0.2500  0.6755
S  0.0394  0.5238  0.7091
S  0.0394  0.9762  0.7091
S  0.4469  0.7500  0.1496
S  0.4522  0.7500  0.5970
S  0.5478  0.2500  0.4030
S  0.5531  0.2500  0.8504
S  0.9606  0.0238  0.2909
S  0.9606  0.4762  0.2909

Entry 3:
Density functional theory data (PBE-GGA) for a relaxed BaPa2PdS8 crystal.

Crystal system: trigonal
E: -6.067 eV/atom
Formation energy without anion corrections: -1.140 eV per atom

abc: 6.2263 6.2263 8.2117
angles: 90.00 90.00 120.00
Atoms (fractional coordinates):
Ba  0.0000  0.0000  0.0000
Pa  0.3333  0.6667  0.3874
Pa  0.6667  0.3333  0.6126
Pd  0.0000  0.0000  0.5000
S  0.1775  0.3550  0.6649
S  0.1775  0.8225  0.6649
S  0.3333  0.6667  0.0885
S  0.3550  0.1775  0.3351
S  0.6450  0.8225  0.6649
S  0.6667  0.3333  0.9115
S  0.8225  0.1775  0.3351
S  0.8225  0.6450  0.3351

Entry 4:
Density functional theory data (PBE-GGA) for a relaxed Ba2PaPd2S6 crystal.

Crystal system: monoclinic
E: -5.642 eV/atom
Formation energy without anion corrections: -1.234 eV per atom

abc: 7.4948 7.4948 7.7262
angles: 119.30 119.30 52.66
Atoms (fractional coordinates):
Ba  0.2271  0.2271  0.2159
Ba  0.7729  0.7729  0.7841
Pa  0.0000  0.0000  0.5000
Pd  0.4291  0.4291  0.7664
Pd  0.5709  0.5709  0.2336
S  0.1984  0.6726  0.1978
S  0.2251  0.2251  0.6267
S  0.3274  0.8016  0.8022
S  0.6726  0.1984  0.1978
S  0.7749  0.7749  0.3733
S  0.8016  0.3274  0.8022

Entry 5:
Density functional theory data (PBE-GGA) for a relaxed Ba3PaPd2S6 crystal.

Crystal system: trigonal
E: -5.536 eV/atom
Formation energy without anion corrections: -1.335 eV per atom

abc: 7.4539 7.4539 7.9344
angles: 90.00 90.00 120.00
Atoms (fractional coordinates):
Ba  0.0000  0.0000  0.0000
Ba  0.3333  0.6667  0.6194
Ba  0.6667  0.3333  0.3806
Pa  0.0000  0.0000  0.5000
Pd  0.3333  0.6667  0.2113
Pd  0.6667  0.3333  0.7887
S  0.1609  0.3218  0.2986
S  0.1609  0.8391  0.2986
S  0.3218  0.1609  0.7014
S  0.6782  0.8391  0.2986
S  0.8391  0.1609  0.7014
S  0.8391  0.6782  0.7014

Entry 6:
Density functional theory data (PBE-GGA) for a relaxed BaPaSb2Pd2 crystal.

Crystal system: trigonal
E: -5.846 eV/atom
Formation energy without anion corrections: -0.838 eV per atom

abc: 4.6261 4.6261 8.6638
angles: 90.00 90.00 120.00
Atoms (fractional coordinates):
Ba  0.0000  0.0000  0.0000
Pa  0.0000  0.0000  0.5000
Sb  0.3333  0.6667  0.7259
Sb  0.6667  0.3333  0.2741
Pd  0.3333  0.6667  0.3196
Pd  0.6667  0.3333  0.6804

Entry 7:
Density functional theory data (PBE-GGA) for a relaxed Ba2PaPdSe5 crystal.

Crystal system: orthorhombic
E: -5.469 eV/atom
Formation energy without anion corrections: -1.473 eV per atom

abc: 9.5538 9.5538 13.4405
angles: 90.00 90.00 154.34
Atoms (fractional coordinates):
Ba  0.1123  0.8877  0.5000
Ba  0.1217  0.8783  0.8552
Ba  0.8783  0.1217  0.3552
Ba  0.8877  0.1123  0.0000
Pa  0.1883  0.8117  0.1767
Pa  0.8117  0.1883  0.6767
Pd  0.4337  0.5663  0.5884
Pd  0.5663  0.4337  0.0884
Se  0.0392  0.9608  0.1842
Se  0.2984  0.7016  0.5346
Se  0.3054  0.6946  0.8190
Se  0.3373  0.6627  0.1765
Se  0.4979  0.5021  0.4208
Se  0.5021  0.4979  0.9208
Se  0.6627  0.3373  0.6765
Se  0.6946  0.3054  0.3190
Se  0.7016  0.2984  0.0346
Se  0.9608  0.0392  0.6842

Entry 8:
Density functional theory data (PBE-GGA) for a relaxed BaPaPd2Se4 crystal.

Crystal system: orthorhombic
E: -5.451 eV/atom
Formation energy without anion corrections: -0.984 eV per atom

abc: 6.5353 7.4398 8.6931
angles: 90.00 90.00 90.00
Atoms (fractional coordinates):
Ba  0.0000  0.0000  0.0000
Ba  0.5000  0.5000  0.5000
Pa  0.0000  0.0000  0.5000
Pa  0.5000  0.5000  0.0000
Pd  0.0000  0.5000  0.1608
Pd  0.0000  0.5000  0.8392
Pd  0.5000  0.0000  0.3392
Pd  0.5000  0.0000  0.6608
Se  0.2092  0.2213  0.3049
Se  0.2092  0.7787  0.6951
Se  0.2908  0.2787  0.8049
Se  0.2908  0.7213  0.1951
Se  0.7092  0.2787  0.1951
Se  0.7092  0.7213  0.8049
Se  0.7908  0.2213  0.6951
Se  0.7908  0.7787  0.3049

Entry 9:
Density functional theory data (PBE-GGA) for a relaxed BaPaPdSe4 crystal.

Crystal system: monoclinic
E: -5.638 eV/atom
Formation energy without anion corrections: -1.274 eV per atom

abc: 7.1729 5.9303 9.1237
angles: 90.00 109.62 90.00
Atoms (fractional coordinates):
Ba  0.2450  0.2500  0.0569
Ba  0.7550  0.7500  0.9431
Pa  0.2736  0.2500  0.5574
Pa  0.7264  0.7500  0.4426
Pd  0.2450  0.7500  0.3070
Pd  0.7550  0.2500  0.6930
Se  0.0356  0.5134  0.7075
Se  0.0356  0.9866  0.7075
Se  0.4347  0.7500  0.5939
Se  0.4549  0.7500  0.1377
Se  0.5451  0.2500  0.8623
Se  0.5653  0.2500  0.4061
Se  0.9644  0.0134  0.2925
Se  0.9644  0.4866  0.2925

Entry 10:
Density functional theory data (PBE-GGA) for a relaxed BaPaTe3Pd crystal.

Crystal system: monoclinic
E: -5.395 eV/atom
Formation energy without anion corrections: -1.055 eV per atom

abc: 9.2660 4.4143 10.1777
angles: 90.00 107.95 90.00
Atoms (fractional coordinates):
Ba  0.1987  0.2500  0.2628
Ba  0.8013  0.7500  0.7372
Pa  0.3139  0.7500  0.8336
Pa  0.6861  0.2500  0.1664
Te  0.1000  0.2500  0.8776
Te  0.2276  0.7500  0.5287
Te  0.4433  0.7500  0.1604
Te  0.5567  0.2500  0.8396
Te  0.7724  0.2500  0.4713
Te  0.9000  0.7500  0.1224
Pd  0.0938  0.2500  0.6094
Pd  0.9062  0.7500  0.3906

Entry 11:
Density functional theory data (PBE-GGA) for a relaxed BaPaTe4Pd2 crystal.

Crystal system: orthorhombic
E: -4.972 eV/atom
Formation energy without anion corrections: -0.675 eV per atom

abc: 7.0332 7.8172 8.8679
angles: 90.00 90.00 90.00
Atoms (fractional coordinates):
Ba  0.0000  0.0000  0.0000
Ba  0.5000  0.5000  0.5000
Pa  0.0000  0.0000  0.5000
Pa  0.5000  0.5000  0.0000
Te  0.2160  0.2308  0.2924
Te  0.2160  0.7692  0.7076
Te  0.2840  0.2692  0.7924
Te  0.2840  0.7308  0.2076
Te  0.7160  0.2692  0.2076
Te  0.7160  0.7308  0.7924
Te  0.7840  0.2308  0.7076
Te  0.7840  0.7692  0.2924
Pd  0.0000  0.5000  0.1585
Pd  0.0000  0.5000  0.8415
Pd  0.5000  0.0000  0.3415
Pd  0.5000  0.0000  0.6585

Entry 12:
Density functional theory data (PBE-GGA) for a relaxed Ba2PaTe5Pd crystal.

Crystal system: orthorhombic
E: -4.952 eV/atom
Formation energy without anion corrections: -1.147 eV per atom

abc: 10.3370 10.3370 14.0147
angles: 90.00 90.00 154.94
Atoms (fractional coordinates):
Ba  0.1113  0.8887  0.5000
Ba  0.1235  0.8765  0.8596
Ba  0.8765  0.1235  0.3596
Ba  0.8887  0.1113  0.0000
Pa  0.1866  0.8134  0.1766
Pa  0.8134  0.1866  0.6766
Te  0.0386  0.9614  0.1801
Te  0.2948  0.7052  0.5289
Te  0.3067  0.6933  0.8261
Te  0.3372  0.6628  0.1775
Te  0.4960  0.5040  0.4236
Te  0.5040  0.4960  0.9236
Te  0.6628  0.3372  0.6775
Te  0.6933  0.3067  0.3261
Te  0.7052  0.2948  0.0289
Te  0.9614  0.0386  0.6801
Pd  0.4224  0.5776  0.5878
Pd  0.5776  0.4224  0.0878

Q: Among the records above, which one has the highest E?
A: Ba2PaTe5Pd

Q: E of number 1 (Ba2PaPd4)?
A: -5.076 eV/atom

Q: What is the E in the first record?
A: -5.076 eV/atom